Entry 1:
## Pr2ThIn (PBE)

Data for a geometry-optimized Pr2ThIn structure.

a b c (Å): 3.6418 3.6418 33.9938
angles (deg): 90.00 90.00 120.00
Space group R3m (No. 160, hexagonal axes)
Asymmetric unit:
Pr 0.0000 0.0000 0.0000
Pr 0.0000 0.0000 0.1746
Th 0.0000 0.0000 0.4204
In 0.0000 0.0000 0.5870

## Properties
ΔE_f, eV per formula unit: -0.34
Calculated total energy, eV/atom: -5.0141

Entry 2:
## PrThIn4 (PBE)

Data for a geometry-optimized PrThIn4 structure.

a b c (Å): 8.6280 8.6280 8.6280
angles (deg): 90.00 90.00 90.00
Space group F-43m (No. 216)
Asymmetric unit:
Pr 0.0000 0.0000 0.0000
Th 0.2500 0.2500 0.2500
In 0.1249 0.1249 0.6249

## Properties
ΔE_f, eV per formula unit: -1.99
Calculated total energy, eV/atom: -4.1906

Entry 3:
## Pr4ThIn3 (PBE)

Data for a geometry-optimized Pr4ThIn3 structure.

a b c (Å): 3.6829 3.6829 18.0603
angles (deg): 90.00 90.00 90.00
Space group P4/mmm (No. 123)
Asymmetric unit:
Pr 0.0000 0.0000 0.1212
Pr 0.0000 0.0000 0.3632
Th 0.5000 0.5000 0.5000
In 0.5000 0.5000 0.0000
In 0.5000 0.5000 0.2430

## Properties
ΔE_f, eV per formula unit: -2.83
Calculated total energy, eV/atom: -4.6973

Entry 4:
## PrTh2In (PBE)

Data for a geometry-optimized PrTh2In structure.

a b c (Å): 7.9026 7.9026 7.9026
angles (deg): 90.00 90.00 90.00
Space group Fm-3m (No. 225)
Asymmetric unit:
Pr 0.0000 0.0000 0.0000
Th 0.2500 0.2500 0.2500
In 0.0000 0.0000 0.5000

## Properties
ΔE_f, eV per formula unit: 0.08
Calculated total energy, eV/atom: -5.5682

Ordered DOS at the Fermi energy results: 7.41; 3.75; 6.29; 4.28; unit states/eV/f.u..